Record 1
A relaxed LaBI2N crystal. Source: Alexandria via LeMat-Bulk, functional PBE-GGA.

extended XYZ file:
```
5
Lattice="6.2909 0.0000 0.0000 0.0000 6.2909 0.0000 0.0000 0.0000 2.9983" Properties=species:S:1:pos:R:3 pbc="T T T"
La 0.0000 0.0000 0.0000
B 3.1455 3.1455 1.4991
I 0.0000 3.1455 1.4991
I 3.1455 0.0000 1.4991
N 3.1455 3.1455 0.0000
```

Output
formation energy from raw total energies = 13 meV/atom



Record 2
A relaxed Te2HOs crystal. Source: Alexandria via LeMat-Bulk, functional PBE-GGA.

extended XYZ file:
```
16
Lattice="5.7088 0.0000 0.0000 0.0000 5.7088 0.0000 0.0000 0.0000 10.6926" Properties=species:S:1:pos:R:3 pbc="T T T"
Te 1.2386 1.4272 1.3366
Te 1.4272 4.0930 4.0097
Te 1.4272 4.4701 9.3560
Te 1.6158 1.4272 6.6829
Te 4.0930 4.2816 6.6829
Te 4.2816 1.2386 9.3560
Te 4.2816 1.6158 4.0097
Te 4.4701 4.2816 1.3366
H 0.0000 0.0000 0.0000
H 0.0000 2.8544 2.6731
H 2.8544 0.0000 8.0194
H 2.8544 2.8544 5.3463
Os 0.0000 0.0000 5.3463
Os 0.0000 2.8544 8.0194
Os 2.8544 0.0000 2.6731
Os 2.8544 2.8544 0.0000
```

Output
raw total energy = -4.612 eV per atom



Record 3
A relaxed LaSmMgAg crystal. Source: Alexandria via LeMat-Bulk, functional PBE-GGA.

extended XYZ file:
```
16
Lattice="7.6859 0.0000 0.0000 0.0000 7.6859 0.0000 0.0000 0.0000 7.6859" Properties=species:S:1:pos:R:3 pbc="T T T"
La 0.0000 0.0000 0.0000
La 0.0000 3.8430 3.8430
La 3.8430 0.0000 3.8430
La 3.8430 3.8430 0.0000
Sm 0.0000 0.0000 3.8430
Sm 0.0000 3.8430 0.0000
Sm 3.8430 0.0000 0.0000
Sm 3.8430 3.8430 3.8430
Mg 1.9215 1.9215 1.9215
Mg 1.9215 5.7644 5.7644
Mg 5.7644 1.9215 5.7644
Mg 5.7644 5.7644 1.9215
Ag 1.9215 1.9215 5.7644
Ag 1.9215 5.7644 1.9215
Ag 5.7644 1.9215 1.9215
Ag 5.7644 5.7644 5.7644
```

Output
ΔE_f = -0.538 eV/f.u.



Record 4
A relaxed As2IBrCl crystal. Source: Alexandria via LeMat-Bulk, functional PBE-GGA.

extended XYZ file:
```
5
Lattice="5.2777 0.0000 0.0000 0.0000 5.2777 0.0000 0.0000 0.0000 5.2552" Properties=species:S:1:pos:R:3 pbc="T T T"
As 0.0000 2.6389 0.0000
As 2.6389 0.0000 0.0000
I 0.0000 0.0000 2.6276
Br 2.6389 2.6389 0.0000
Cl 2.6389 2.6389 2.6276
```

Output
formation energy from raw total energies = 849 meV/atom



Record 5
A relaxed Rb3ErBi2O6 crystal. Source: Alexandria via LeMat-Bulk, functional PBE-GGA.

extended XYZ file:
```
12
Lattice="3.1155 -5.3949 0.0000 3.1155 5.3949 0.0000 -2.0772 0.0000 6.5705" Properties=species:S:1:pos:R:3 pbc="T T T"
Rb 0.0000 0.0000 0.0000
Rb 3.1155 1.8175 0.0000
Rb 3.1155 -1.8175 0.0000
Er 2.0769 0.0000 3.2852
Bi 2.0769 3.5975 3.2852
Bi 2.0769 -3.5975 3.2852
O 1.0910 1.7068 2.0741
O 0.1065 0.0000 4.5009
O 1.0910 -1.7068 2.0741
O 3.0627 1.7068 4.4963
O 4.0473 0.0000 2.0696
O 3.0627 -1.7068 4.4963
```

Output
formation energy from raw total energies = -1758 meV/atom



Record 6
A relaxed LiCa2Co crystal. Source: Alexandria via LeMat-Bulk, functional PBE-GGA.

extended XYZ file:
```
8
Lattice="3.4073 0.0000 0.0000 0.0000 5.1206 0.0000 0.0000 0.0000 11.2553" Properties=species:S:1:pos:R:3 pbc="T T T"
Li 0.0000 0.0000 0.0000
Li 1.7036 2.5603 5.6277
Ca 0.0000 0.0000 4.2729
Ca 0.0000 2.5603 2.0460
Ca 1.7036 0.0000 7.6737
Ca 1.7036 2.5603 9.9006
Co 0.0000 2.5603 7.5600
Co 1.7036 0.0000 1.9323
```

Output
ΔE_f = 1.136 eV/f.u.



In order of appearance, total magnetic moment = 0.0, 0.0, 0.0, 0.8, 0.0, 0.5 μB/f.u..
In order of appearance, mass density = 5.84, 8.51, 6.17, 4.45, 7.05, 2.47 g/cm3.